Entry 1:
Material: LiTb6In5
Method: DFT, PBE
State: optimized geometry

Cell lengths 5.341, 7.451, 8.469 Å; angles 90.00, 71.62, 90.00 degrees
Positions (direct):
In1 0.667 0.500 0.667
In2 0.342 0.000 0.317
In3 0.000 0.500 0.000
In4 0.658 0.000 0.683
In5 0.333 0.500 0.333
Tb1 0.833 0.753 0.335
Tb2 0.833 0.247 0.335
Tb3 0.500 0.252 0.000
Tb4 0.500 0.748 0.000
Tb5 0.167 0.753 0.665
Tb6 0.167 0.247 0.665
Li1 0.000 0.000 0.000

formation energy from the elements	-0.426	eV per atom



Entry 2:
Material: Li2TbIn3
Method: DFT, PBE
State: optimized geometry

Cell lengths 4.879, 4.879, 13.204 Å; angles 90.00, 90.00, 120.00 degrees
Positions (direct):
Li1 0.667 0.333 0.401
Li2 0.333 0.667 0.599
Li3 0.333 0.667 0.901
Li4 0.667 0.333 0.099
Tb1 0.000 0.000 0.250
Tb2 0.000 0.000 0.750
In1 0.000 0.000 0.500
In2 0.000 0.000 0.000
In3 0.667 0.333 0.633
In4 0.333 0.667 0.133
In5 0.667 0.333 0.867
In6 0.333 0.667 0.367

formation energy from the elements	-0.315	eV per atom



Entry 3:
Material: LiTb2InTe4
Method: DFT, PBE
State: optimized geometry

Cell lengths 4.443, 7.739, 15.646 Å; angles 90.00, 90.00, 106.68 degrees
Positions (direct):
Li1 0.838 0.676 0.750
Li2 0.162 0.324 0.250
Tb1 0.366 0.732 0.564
Tb2 0.634 0.268 0.064
Tb3 0.634 0.268 0.436
Tb4 0.366 0.732 0.936
In1 0.112 0.223 0.750
In2 0.888 0.777 0.250
Te1 0.270 0.541 0.111
Te2 0.730 0.459 0.611
Te3 0.730 0.459 0.889
Te4 0.270 0.541 0.389
Te5 0.000 0.000 0.500
Te6 0.000 0.000 0.000
Te7 0.442 0.884 0.750
Te8 0.558 0.116 0.250

uncorrected formation energy	-106.13	kJ per mole of atoms



Entry 4:
Material: Li2Tb2ThIn2
Method: DFT, PBE
State: optimized geometry

Cell lengths 4.894, 4.894, 9.276 Å; angles 74.71, 74.71, 60.00 degrees
Positions (direct):
Li1 0.596 0.596 0.212
Li2 0.404 0.404 0.788
Tb1 0.129 0.129 0.614
Tb2 0.871 0.871 0.386
Th1 0.000 0.000 0.000
In1 0.738 0.738 0.786
In2 0.262 0.262 0.214

formation energy from the elements	-0.171	eV per atom



Entry 5:
Material: Li2Tb2TmIn2
Method: DFT, PBE
State: optimized geometry

Cell lengths 4.828, 4.828, 9.256 Å; angles 74.88, 74.88, 60.00 degrees
Positions (direct):
Li1 0.608 0.608 0.177
Li2 0.392 0.392 0.823
Tb1 0.127 0.127 0.620
Tb2 0.873 0.873 0.380
Tm1 0.000 0.000 0.000
In1 0.736 0.736 0.791
In2 0.264 0.264 0.209

formation energy from the elements	-0.217	eV per atom



Entry 6:
Material: LiTbTm2In4
Method: DFT, PBE
State: optimized geometry

Cell lengths 5.174, 5.174, 9.130 Å; angles 73.54, 73.54, 60.00 degrees
Positions (direct):
Li1 0.500 0.500 0.500
Tb1 0.000 0.000 0.000
Tm1 0.753 0.753 0.741
Tm2 0.247 0.247 0.259
In1 0.378 0.378 0.866
In2 0.873 0.873 0.382
In3 0.127 0.127 0.618
In4 0.622 0.622 0.134

formation energy from the elements	-0.403	eV per atom



Entry 7:
Material: Li2TbTm2In2
Method: DFT, PBE
State: optimized geometry

Cell lengths 4.842, 4.842, 9.147 Å; angles 74.65, 74.65, 60.00 degrees
Positions (direct):
Li1 0.601 0.601 0.198
Li2 0.399 0.399 0.802
Tb1 0.000 0.000 0.000
Tm1 0.128 0.128 0.615
Tm2 0.872 0.872 0.385
In1 0.739 0.739 0.782
In2 0.261 0.261 0.218

formation energy from the elements	-0.215	eV per atom



Entry 8:
Material: LiTbY2In4
Method: DFT, PBE
State: optimized geometry

Cell lengths 5.211, 5.211, 9.206 Å; angles 73.56, 73.56, 60.00 degrees
Positions (direct):
Li1 0.500 0.500 0.500
Tb1 0.000 0.000 0.000
Y1 0.754 0.754 0.738
Y2 0.246 0.246 0.262
In1 0.377 0.377 0.869
In2 0.874 0.874 0.379
In3 0.126 0.126 0.621
In4 0.623 0.623 0.131

formation energy from the elements	-0.437	eV per atom